# 1
A plane-wave DFT calculation with PBE was carried out for a geometry-optimized ErMgScHg structure.

The calculation puts the distance to the lowest polymorph of the same formula at 14 meV per atom.

The structure belongs to space group F-43m (No. 216); the cell edges are 7.252, 7.252 and 7.252 Å and the angles 90.00°, 90.00° and 90.00°. The distinct sites, in fractional coordinates, are Er at (0.000, 0.000, 0.000), Mg at (0.250, 0.250, 0.250), Sc at (0.000, 0.000, 0.500) and Hg at (0.250, 0.250, 0.750).

***

# 2
A plane-wave DFT calculation with PBE was carried out for a geometry-optimized ErMgScHg structure.

The calculation puts the distance to the lowest polymorph of the same formula at 0 meV per atom.

The structure belongs to space group P4mm (No. 99); the cell edges are 3.669, 3.669 and 7.131 Å and the angles 90.00°, 90.00° and 90.00°. The distinct sites, in fractional coordinates, are Er at (0.000, 0.000, 0.000), Mg at (0.500, 0.500, 0.273), Sc at (0.000, 0.000, 0.509) and Hg at (0.500, 0.500, 0.737).

***

# 3
A plane-wave DFT calculation with PBE was carried out for a geometry-optimized SmEr2MgHg4 structure.

The structure belongs to space group R-3m (No. 166, hexagonal axes); the cell edges are 5.1308, 5.1308 and 26.0278 Å and the angles 90.00°, 90.00° and 120.00°. The distinct sites, in fractional coordinates, are Sm at (0.0000, 0.0000, 0.0000), Er at (0.0000, 0.0000, 0.2443), Mg at (0.0000, 0.0000, 0.5000), Hg at (0.0000, 0.0000, 0.1259) and Hg at (0.0000, 0.0000, 0.3782).

***

# 4
A plane-wave DFT calculation with PBE was carried out for a geometry-optimized Sr2ErMg12Hg3 structure.

The structure belongs to space group R-3m (No. 166, hexagonal axes); the cell edges are 8.8997, 8.8997 and 24.2032 Å and the angles 90.00°, 90.00° and 120.00°. The distinct sites, in fractional coordinates, are Sr at (0.0000, 0.0000, 0.0828), Er at (0.0000, 0.0000, 0.5000), Mg at (0.0817, 0.5408, 0.8697), Mg at (0.0953, 0.5477, 0.2699) and Hg at (0.0000, 0.5000, 0.0000).

***

# 5
A plane-wave DFT calculation with PBE was carried out for a geometry-optimized Tb2ErMgHg4 structure.

The structure belongs to space group R-3m (No. 166, hexagonal axes); the cell edges are 5.1564, 5.1564 and 25.6114 Å and the angles 90.00°, 90.00° and 120.00°. The distinct sites, in fractional coordinates, are Tb at (0.0000, 0.0000, 0.2455), Er at (0.0000, 0.0000, 0.0000), Mg at (0.0000, 0.0000, 0.5000), Hg at (0.0000, 0.0000, 0.1243) and Hg at (0.0000, 0.0000, 0.3728).

***

# 6
A plane-wave DFT calculation with PBE was carried out for a geometry-optimized ErThMg2Hg4 structure.

The structure belongs to space group R-3m (No. 166, hexagonal axes); the cell edges are 5.0945, 5.0945 and 25.5481 Å and the angles 90.00°, 90.00° and 120.00°. The distinct sites, in fractional coordinates, are Er at (0.0000, 0.0000, 0.0000), Th at (0.0000, 0.0000, 0.5000), Mg at (0.0000, 0.0000, 0.2514), Hg at (0.0000, 0.0000, 0.1193) and Hg at (0.0000, 0.0000, 0.3725).

***

# 7
A plane-wave DFT calculation with PBE was carried out for a geometry-optimized ErThMgHg structure.

The structure belongs to space group F-43m (No. 216); the cell edges are 7.568, 7.568 and 7.568 Å and the angles 90.00°, 90.00° and 90.00°. The distinct sites, in fractional coordinates, are Er at (0.000, 0.000, 0.000), Th at (0.000, 0.000, 0.500), Mg at (0.250, 0.250, 0.250) and Hg at (0.250, 0.250, 0.750).

***

# 8
A plane-wave DFT calculation with PBE was carried out for a geometry-optimized ErTmMg2Hg4 structure.

The structure belongs to space group R-3m (No. 166, hexagonal axes); the cell edges are 5.0355, 5.0355 and 24.7262 Å and the angles 90.00°, 90.00° and 120.00°. The distinct sites, in fractional coordinates, are Er at (0.0000, 0.0000, 0.0000), Tm at (0.0000, 0.0000, 0.5000), Mg at (0.0000, 0.0000, 0.2500), Hg at (0.0000, 0.0000, 0.1249) and Hg at (0.0000, 0.0000, 0.3758).

***

# 9
A plane-wave DFT calculation with PBE was carried out for a geometry-optimized YErMg2Hg4 structure.

The structure belongs to space group R-3m (No. 166, hexagonal axes); the cell edges are 5.0592, 5.0592 and 24.8530 Å and the angles 90.00°, 90.00° and 120.00°. The distinct sites, in fractional coordinates, are Y at (0.0000, 0.0000, 0.0000), Er at (0.0000, 0.0000, 0.5000), Mg at (0.0000, 0.0000, 0.2499), Hg at (0.0000, 0.0000, 0.1256) and Hg at (0.0000, 0.0000, 0.3763).

***

# 10
A plane-wave DFT calculation with PBE was carried out for a geometry-optimized Er2MgZnHg4 structure.

The structure belongs to space group R-3m (No. 166, hexagonal axes); the cell edges are 5.0105, 5.0105 and 24.5344 Å and the angles 90.00°, 90.00° and 120.00°. The distinct sites, in fractional coordinates, are Er at (0.0000, 0.0000, 0.2473), Mg at (0.0000, 0.0000, 0.0000), Zn at (0.0000, 0.0000, 0.5000), Hg at (0.0000, 0.0000, 0.1236) and Hg at (0.0000, 0.0000, 0.3734).

***

# 11
A plane-wave DFT calculation with PBE was carried out for a geometry-optimized Er4MnHg structure.

The structure belongs to space group C2/c (No. 15); the cell edges are 8.516, 12.524 and 6.019 Å and the angles 90.00°, 106.00° and 90.00°. The distinct sites, in fractional coordinates, are Er at (0.104, 0.168, 0.042), Er at (0.218, 0.420, 0.399), Mn at (0.000, 0.001, 0.250) and Hg at (0.000, 0.373, 0.750).

***

# 12
A plane-wave DFT calculation with PBE was carried out for a geometry-optimized NdErMnHg structure.

The structure belongs to space group F-43m (No. 216); the cell edges are 7.373, 7.373 and 7.373 Å and the angles 90.00°, 90.00° and 90.00°. The distinct sites, in fractional coordinates, are Nd at (0.000, 0.000, 0.000), Er at (0.000, 0.000, 0.500), Mn at (0.250, 0.250, 0.750) and Hg at (0.250, 0.250, 0.250).

***

# 13
A plane-wave DFT calculation with PBE was carried out for a geometry-optimized ErMnHgPd structure.

The structure belongs to space group F-43m (No. 216); the cell edges are 6.831, 6.831 and 6.831 Å and the angles 90.00°, 90.00° and 90.00°. The distinct sites, in fractional coordinates, are Er at (0.000, 0.000, 0.000), Mn at (0.000, 0.000, 0.500), Hg at (0.250, 0.250, 0.750) and Pd at (0.250, 0.250, 0.250).

***

# 14
A plane-wave DFT calculation with PBE was carried out for a geometry-optimized PmErMnHg structure.

The structure belongs to space group F-43m (No. 216); the cell edges are 7.342, 7.342 and 7.342 Å and the angles 90.00°, 90.00° and 90.00°. The distinct sites, in fractional coordinates, are Pm at (0.000, 0.000, 0.000), Er at (0.000, 0.000, 0.500), Mn at (0.250, 0.250, 0.750) and Hg at (0.250, 0.250, 0.250).

***

# 15
A plane-wave DFT calculation with PBE was carried out for a geometry-optimized SmErMnHg structure.

The structure belongs to space group F-43m (No. 216); the cell edges are 7.321, 7.321 and 7.321 Å and the angles 90.00°, 90.00° and 90.00°. The distinct sites, in fractional coordinates, are Sm at (0.000, 0.000, 0.000), Er at (0.000, 0.000, 0.500), Mn at (0.250, 0.250, 0.250) and Hg at (0.250, 0.250, 0.750).

***

# 16
A plane-wave DFT calculation with PBE was carried out for a geometry-optimized ErTmMnHg structure.

The structure belongs to space group F-43m (No. 216); the cell edges are 7.197, 7.197 and 7.197 Å and the angles 90.00°, 90.00° and 90.00°. The distinct sites, in fractional coordinates, are Er at (0.000, 0.000, 0.000), Tm at (0.000, 0.000, 0.500), Mn at (0.250, 0.250, 0.750) and Hg at (0.250, 0.250, 0.250).

***

# 17
A plane-wave DFT calculation with PBE was carried out for a geometry-optimized ErMnZnHg structure.

The structure belongs to space group F-43m (No. 216); the cell edges are 6.843, 6.843 and 6.843 Å and the angles 90.00°, 90.00° and 90.00°. The distinct sites, in fractional coordinates, are Er at (0.000, 0.000, 0.000), Mn at (0.000, 0.000, 0.500), Zn at (0.250, 0.250, 0.750) and Hg at (0.250, 0.250, 0.250).

***

# 18
A plane-wave DFT calculation with PBE was carried out for a geometry-optimized Er2HgMo structure.

The structure belongs to space group P4/mmm (No. 123); the cell edges are 3.524, 3.524 and 7.434 Å and the angles 90.00°, 90.00° and 90.00°. The distinct sites, in fractional coordinates, are Er at (0.000, 0.000, 0.226), Hg at (0.500, 0.500, 0.500) and Mo at (0.500, 0.500, 0.000).

***

The records above yield ΔE_f values of -93.0; -98.3; -343.2; 208.1; -365.3; -284.3; -45.7; -342.3; -353.4; -283.5; -75.1; -22.7; -114.4; -25.8; -26.9; -33.4; -37.7; -17.6 kJ/mol of formula units, respectively.
The records above yield total moment values of 0.6; 0.0; 0.0; 0.0; 0.0; 0.0; 0.0; 0.0; 0.0; 0.0; 1.7; 12.4; 16.8; 12.2; 12.1; 12.2; 16.3; 0.0 Bohr magnetons per cell, respectively.